This record from Alexandria describes a geometry-optimized PuCoNiGe structure. The functional is PBE.

It has space group R3m (No. 160, hexagonal axes), with a = 4.0132 Å, b = 4.0132 Å, c = 14.6936 Å, α = 90.00°, β = 90.00° and γ = 120.00°. The distinct sites, in fractional coordinates, are Pu at (0.0000, 0.0000, 0.0000), Co at (0.0000, 0.0000, 0.2103), Ni at (0.0000, 0.0000, 0.5233) and Ge at (0.0000, 0.0000, 0.7985).

Its crystal system is trigonal. As for the total energy: -8.19 eV per atom. The density of states at the Fermi level comes out at 31.2 states/eV per cell. The value obtained for the total magnetization is 4.03 μB per formula unit. The polymorph energy (0 for the lowest one) is 0 meV/atom.

---

This record from Alexandria describes a geometry-optimized PuCoNiGe structure. The functional is PBE.

It has space group F-43m (No. 216), with a = 6.2762 Å, b = 6.2762 Å, c = 6.2762 Å, α = 90.00°, β = 90.00° and γ = 90.00°. The distinct sites, in fractional coordinates, are Pu at (0.0000, 0.0000, 0.0000), Co at (0.2500, 0.2500, 0.7500), Ni at (0.2500, 0.2500, 0.2500) and Ge at (0.0000, 0.0000, 0.5000).

Its crystal system is cubic. As for the total energy: -8.12 eV per atom. The density of states at the Fermi level comes out at 27.2 states/eV per cell. The value obtained for the total magnetization is 3.15 μB per formula unit. The polymorph energy (0 for the lowest one) is 77 meV/atom.

---

This record from Alexandria describes a geometry-optimized CoNiGeRh structure. The functional is PBE.

It has space group F-43m (No. 216), with a = 5.8455 Å, b = 5.8455 Å, c = 5.8455 Å, α = 90.00°, β = 90.00° and γ = 90.00°. The distinct sites, in fractional coordinates, are Co at (0.0000, 0.0000, 0.0000), Ni at (0.2500, 0.2500, 0.2500), Ge at (0.2500, 0.2500, 0.7500) and Rh at (0.0000, 0.0000, 0.5000).

Its crystal system is cubic. As for the total energy: -6.38 eV per atom. The density of states at the Fermi level comes out at 21.0 states/eV per cell. The value obtained for the total magnetization is 1.29 μB per formula unit.

---

This record from Alexandria describes a geometry-optimized CoSi2NiGe structure. The functional is PBE.

It has space group P4/mmm (No. 123), with a = 4.1675 Å, b = 4.1675 Å, c = 4.7071 Å, α = 90.00°, β = 90.00° and γ = 90.00°. The distinct sites, in fractional coordinates, are Co at (0.0000, 0.0000, 0.0000), Si at (0.0000, 0.5000, 0.0000), Ni at (0.0000, 0.0000, 0.5000) and Ge at (0.5000, 0.5000, 0.5000).

Its crystal system is tetragonal. As for the total energy: -5.24 eV per atom. The density of states at the Fermi level comes out at 3.5 states/eV per cell. The value obtained for the total magnetization is 0.03 μB per formula unit. As for the uncorrected formation energy: 0.429 eV per atom.

---

This record from Alexandria describes a geometry-optimized SmCoNiGe3 structure. The functional is PBE.

It has space group Cmcm (No. 63), with a = 6.2618 Å, b = 11.5799 Å, c = 6.1698 Å, α = 90.00°, β = 90.00° and γ = 90.00°. The distinct sites, in fractional coordinates, are Sm at (0.0000, 0.2411, 0.2500), Co at (0.0000, 0.4148, 0.7500), Ni at (0.0000, 0.0355, 0.7500), Ge at (0.0000, 0.2271, 0.7500) and Ge at (0.2269, 0.5000, 0.0000).

Its crystal system is orthorhombic. As for the total energy: -5.53 eV per atom. The density of states at the Fermi level comes out at 13.9 states/eV per cell. The value obtained for the total magnetization is 0.00 μB per formula unit.

---

This record from Alexandria describes a geometry-optimized Sm2CoNi3Ge4 structure. The functional is PBE.

It has space group P-4m2 (No. 115), with a = 4.1128 Å, b = 4.1128 Å, c = 9.7597 Å, α = 90.00°, β = 90.00° and γ = 90.00°. The distinct sites, in fractional coordinates, are Sm at (0.0000, 0.5000, 0.2500), Co at (0.0000, 0.0000, 0.5000), Ni at (0.0000, 0.5000, 0.8727), Ni at (0.5000, 0.5000, 0.5000), Ge at (0.0000, 0.0000, 0.0000), Ge at (0.0000, 0.5000, 0.6280) and Ge at (0.5000, 0.5000, 0.0000).

Its crystal system is tetragonal. As for the total energy: -5.90 eV per atom. The density of states at the Fermi level comes out at 5.2 states/eV per cell. The value obtained for the total magnetization is 0.92 μB per formula unit.

---

This record from Alexandria describes a geometry-optimized Sm2CoNi4Ge3 structure. The functional is PBE.

It has space group P-4m2 (No. 115), with a = 4.0822 Å, b = 4.0822 Å, c = 9.7247 Å, α = 90.00°, β = 90.00° and γ = 90.00°. The distinct sites, in fractional coordinates, are Sm at (0.0000, 0.5000, 0.2465), Co at (0.5000, 0.5000, 0.0000), Ni at (0.0000, 0.0000, 0.5000), Ni at (0.0000, 0.5000, 0.8746), Ni at (0.5000, 0.5000, 0.5000), Ge at (0.0000, 0.0000, 0.0000) and Ge at (0.0000, 0.5000, 0.6296).

Its crystal system is tetragonal. As for the total energy: -5.92 eV per atom. The density of states at the Fermi level comes out at 9.6 states/eV per cell. The value obtained for the total magnetization is 2.18 μB per formula unit.

---

This record from Alexandria describes a geometry-optimized SrCoNiGe2 structure. The functional is PBE.

It has space group I-4m2 (No. 119), with a = 4.1256 Å, b = 4.1256 Å, c = 10.6267 Å, α = 90.00°, β = 90.00° and γ = 90.00°. The distinct sites, in fractional coordinates, are Sr at (0.0000, 0.0000, 0.0000), Co at (0.0000, 0.5000, 0.2500), Ni at (0.0000, 0.5000, 0.7500) and Ge at (0.0000, 0.0000, 0.3600).

Its crystal system is tetragonal. As for the total energy: -5.22 eV per atom. The density of states at the Fermi level comes out at 6.3 states/eV per cell. The value obtained for the total magnetization is 0.88 μB per formula unit.

---

This record from Alexandria describes a geometry-optimized TbCoNi2Ge2 structure. The functional is PBE.

It has space group P4/mmm (No. 123), with a = 4.4244 Å, b = 4.4244 Å, c = 5.1203 Å, α = 90.00°, β = 90.00° and γ = 90.00°. The distinct sites, in fractional coordinates, are Tb at (0.0000, 0.0000, 0.0000), Co at (0.0000, 0.0000, 0.5000), Ni at (0.5000, 0.5000, 0.2416) and Ge at (0.0000, 0.5000, 0.5000).

Its crystal system is tetragonal. As for the total energy: -5.58 eV per atom. The density of states at the Fermi level comes out at 2.5 states/eV per cell. The value obtained for the total magnetization is 0.00 μB per formula unit.

---

This record from Alexandria describes a geometry-optimized Tb2CoNi4Ge3 structure. The functional is PBE.

It has space group P-4m2 (No. 115), with a = 4.0233 Å, b = 4.0233 Å, c = 9.7764 Å, α = 90.00°, β = 90.00° and γ = 90.00°. The distinct sites, in fractional coordinates, are Tb at (0.0000, 0.5000, 0.2462), Co at (0.5000, 0.5000, 0.0000), Ni at (0.0000, 0.0000, 0.5000), Ni at (0.0000, 0.5000, 0.8720), Ni at (0.5000, 0.5000, 0.5000), Ge at (0.0000, 0.0000, 0.0000) and Ge at (0.0000, 0.5000, 0.6315).

Its crystal system is tetragonal. As for the total energy: -5.91 eV per atom. The density of states at the Fermi level comes out at 9.5 states/eV per cell. The value obtained for the total magnetization is 2.04 μB per formula unit.

---

This record from Alexandria describes a geometry-optimized Tb2Co3Ni12Ge structure. The functional is PBE.

It has space group R-3m (No. 166, hexagonal axes), with a = 8.2531 Å, b = 8.2531 Å, c = 12.0516 Å, α = 90.00°, β = 90.00° and γ = 120.00°. The distinct sites, in fractional coordinates, are Tb at (0.0000, 0.0000, 0.2263), Co at (0.0000, 0.5000, 0.0000), Ni at (0.0209, 0.5105, 0.2100), Ni at (0.0465, 0.5232, 0.6018) and Ge at (0.0000, 0.0000, 0.5000).

Its crystal system is trigonal. As for the total energy: -5.79 eV per atom. The density of states at the Fermi level comes out at 76.6 states/eV per cell. The value obtained for the total magnetization is 8.08 μB per formula unit.

---

This record from Alexandria describes a geometry-optimized ThCoNiGe2 structure. The functional is PBE.

It has space group I-4m2 (No. 119), with a = 4.1368 Å, b = 4.1368 Å, c = 9.9490 Å, α = 90.00°, β = 90.00° and γ = 90.00°. The distinct sites, in fractional coordinates, are Th at (0.0000, 0.0000, 0.0000), Co at (0.0000, 0.5000, 0.2500), Ni at (0.0000, 0.5000, 0.7500) and Ge at (0.0000, 0.0000, 0.3691).

Its crystal system is tetragonal. As for the total energy: -6.55 eV per atom. The density of states at the Fermi level comes out at 7.4 states/eV per cell. The value obtained for the total magnetization is 1.38 μB per formula unit.